Record 1
## LuCoCu (PBE-GGA)

Data for an optimized crystal structure of LuCoCu.

Computed properties:
magnetic moment = 0.70 μB/cell
N(E_F) = 0.878 states/eV/atom
final energy = -5.301 eV per atom
ΔH_f (0 K) = -60 meV/atom

Cell lengths 5.038, 5.038, 5.038 Å; angles 142.17, 142.17, 54.57 degrees
Element x y z (fractional)
1 Lu 0.000 0.000 0.000
2 Co 0.679 0.679 0.000
3 Cu 0.306 0.306 0.000

=====

Record 2
## KRbTl2Cu (PBE-GGA)

Data for an optimized crystal structure of KRbTl2Cu.

Computed properties:
magnetic moment = 0.00 μB/cell
N(E_F) = 0.651 states/eV/atom
final energy = -2.067 eV per atom
ΔH_f (0 K) = 112 meV/atom

Cell lengths 5.451, 5.451, 6.170 Å; angles 90.00, 90.00, 90.00 degrees
Element x y z (fractional)
1 K 0.000 0.000 0.000
2 Rb 0.500 0.500 0.000
3 Tl 0.000 0.500 0.500
4 Tl 0.500 0.000 0.500
5 Cu 0.000 0.000 0.500

=====

Record 3
## Ca2ZnIr (PBE-GGA)

Data for an optimized crystal structure of Ca2ZnIr.

Computed properties:
magnetic moment = 0.00 μB/cell
N(E_F) = 0.691 states/eV/atom
final energy = -3.716 eV per atom
ΔH_f (0 K) = -181 meV/atom

Cell lengths 3.306, 3.629, 8.038 Å; angles 90.00, 90.00, 90.00 degrees
Element x y z (fractional)
1 Ca 0.000 0.000 0.000
2 Ca 0.500 0.500 0.406
3 Zn 0.000 0.000 0.647
4 Ir 0.500 0.500 0.766

=====

Record 4
## KNaBrCl (PBE-GGA)

Data for an optimized crystal structure of KNaBrCl.

Computed properties:
magnetic moment = 0.00 μB/cell
uncorrected formation energy = -1622 meV per atom
N(E_F) = 0.000 states/eV/atom
final energy = -3.106 eV per atom

Cell lengths 5.368, 5.368, 5.368 Å; angles 60.00, 60.00, 60.00 degrees
Element x y z (fractional)
1 K 0.000 0.000 0.000
2 Na 0.500 0.500 0.500
3 Br 0.750 0.750 0.750
4 Cl 0.250 0.250 0.250

=====

Record 5
## Sb2IBrN (PBE-GGA)

Data for an optimized crystal structure of Sb2IBrN.

Computed properties:
magnetic moment = 0.00 μB/cell
uncorrected formation energy = 760 meV per atom
N(E_F) = 0.777 states/eV/atom
final energy = -3.199 eV per atom

Cell lengths 4.982, 4.982, 4.888 Å; angles 90.00, 90.00, 90.00 degrees
Element x y z (fractional)
1 Sb 0.000 0.500 0.000
2 Sb 0.500 0.000 0.000
3 I 0.000 0.000 0.500
4 Br 0.500 0.500 0.500
5 N 0.000 0.000 0.000

=====

Record 6
## CuOs2Ru (PBE-GGA)

Data for an optimized crystal structure of CuOs2Ru.

Computed properties:
magnetic moment = 0.00 μB/cell
N(E_F) = 0.977 states/eV/atom
final energy = -8.648 eV per atom
ΔH_f (0 K) = 310 meV/atom

Cell lengths 2.701, 2.701, 7.551 Å; angles 90.00, 90.00, 90.00 degrees
Element x y z (fractional)
1 Cu 0.000 0.000 0.000
2 Os 0.500 0.500 0.248
3 Os 0.500 0.500 0.752
4 Ru 0.000 0.000 0.500

=====

Record 7
## PrSm5Ni2 (PBE-GGA)

Data for an optimized crystal structure of PrSm5Ni2.

Computed properties:
magnetic moment = 0.00 μB/cell
N(E_F) = 1.357 states/eV/atom
final energy = -5.094 eV per atom
ΔH_f (0 K) = -102 meV/atom

Cell lengths 6.874, 6.874, 18.640 Å; angles 90.00, 90.00, 148.42 degrees
Element x y z (fractional)
1 Pr 0.182 0.818 0.750
2 Pr 0.818 0.182 0.250
3 Sm 0.091 0.909 0.250
4 Sm 0.169 0.831 0.558
5 Sm 0.169 0.831 0.942
6 Sm 0.437 0.563 0.592
7 Sm 0.437 0.563 0.908
8 Sm 0.563 0.437 0.092
9 Sm 0.563 0.437 0.408
10 Sm 0.831 0.169 0.058
11 Sm 0.831 0.169 0.442
12 Sm 0.909 0.091 0.750
13 Ni 0.218 0.782 0.134
14 Ni 0.218 0.782 0.366
15 Ni 0.782 0.218 0.634
16 Ni 0.782 0.218 0.866

=====

Record 8
## Zr2GaP (PBE-GGA)

Data for an optimized crystal structure of Zr2GaP.

Computed properties:
magnetic moment = 0.00 μB/cell
N(E_F) = 0.838 states/eV/atom
final energy = -6.886 eV per atom
ΔH_f (0 K) = -503 meV/atom

Cell lengths 4.694, 4.694, 4.694 Å; angles 60.00, 60.00, 60.00 degrees
Element x y z (fractional)
1 Zr 0.250 0.250 0.250
2 Zr 0.750 0.750 0.750
3 Ga 0.000 0.000 0.000
4 P 0.500 0.500 0.500